VASP calculation (PBE) on a geometry-optimized BeBiSb2Te structure.

Values from the calculation:
Its magnetization is 0.160 μB per atom. The raw formation energy comes out at 6.8 eV per formula unit. The total energy comes out at -12.20 eV/cell.

Cell and atoms, written as CIF:
```
data_BeBiSb2Te
_chemical_formula_sum 'Be1 Bi1 Sb2 Te1'
_symmetry_space_group_name_H-M 'P 4/m m m'
_symmetry_Int_Tables_number 123
_symmetry_space_group_name_Hall '-P 4 2'
_cell_length_a 5.846
_cell_length_b 5.846
_cell_length_c 5.979
_cell_angle_alpha 90.00
_cell_angle_beta 90.00
_cell_angle_gamma 90.00
loop_
_atom_site_label
_atom_site_fract_x
_atom_site_fract_y
_atom_site_fract_z
_atom_site_occupancy
Be1 0.000 0.000 0.000 1
Bi1 0.500 0.500 0.500 1
Sb1 0.000 0.500 0.500 1
Te1 0.500 0.500 0.000 1
```


VASP calculation (PBE) on a geometry-optimized ZrCo2Pt structure.

Values from the calculation:
Its magnetization is 0.679 μB per atom. The calculation puts the formation energy from the elements at -0.073 eV per atom. The total energy comes out at -58.19 eV/cell.

Cell and atoms, written as CIF:
```
data_ZrCo2Pt
_chemical_formula_sum 'Zr2 Co4 Pt2'
_symmetry_space_group_name_H-M 'C 1 2/m 1'
_symmetry_Int_Tables_number 12
_cell_length_a 5.399
_cell_length_b 8.709
_cell_length_c 2.775
_cell_angle_alpha 90.00
_cell_angle_beta 113.47
_cell_angle_gamma 90.00
loop_
_symmetry_equiv_pos_as_xyz
'x,y,z'
'-x,-y,-z'
'-x,y,-z'
'x,-y,z'
'x+1/2,y+1/2,z'
'-x+1/2,-y+1/2,-z'
'-x+1/2,y+1/2,-z'
'x+1/2,-y+1/2,z'
loop_
_atom_site_label
_atom_site_fract_x
_atom_site_fract_y
_atom_site_fract_z
_atom_site_occupancy
Zr1 0.000 0.000 0.000 1
Co1 0.250 0.250 0.500 1
Pt1 0.000 0.500 0.000 1
```


VASP calculation (PBE) on a geometry-optimized ZrAgSe2 structure.

Values from the calculation:
Its magnetization is 0.000 μB per atom. The raw formation energy comes out at -3.1 eV per formula unit. The total energy comes out at -42.97 eV/cell.

Cell and atoms, written as CIF:
```
data_ZrAgSe2
_chemical_formula_sum 'Zr2 Ag2 Se4'
_symmetry_space_group_name_H-M 'A m m 2'
_symmetry_Int_Tables_number 38
_cell_length_a 3.939
_cell_length_b 3.645
_cell_length_c 12.211
_cell_angle_alpha 90.00
_cell_angle_beta 90.00
_cell_angle_gamma 90.00
loop_
_symmetry_equiv_pos_as_xyz
'x,y,z'
'-x,-y,z'
'-x,y,z'
'x,-y,z'
'x,y+1/2,z+1/2'
'-x,-y+1/2,z+1/2'
'-x,y+1/2,z+1/2'
'x,-y+1/2,z+1/2'
loop_
_atom_site_label
_atom_site_fract_x
_atom_site_fract_y
_atom_site_fract_z
_atom_site_occupancy
Zr1 0.000 0.000 0.000 1
Ag1 0.500 0.000 0.193 1
Se1 0.000 0.000 0.668 1
Se2 0.500 0.000 0.421 1
```


VASP calculation (PBE) on a geometry-optimized Y5Fe2Ag structure.

Values from the calculation:
Its magnetization is 0.176 μB per atom. The calculation puts the formation energy from the elements at -0.082 eV per atom. The total energy comes out at -211.00 eV/cell.

Cell and atoms, written as CIF:
```
data_Y5Fe2Ag
_chemical_formula_sum 'Y20 Fe8 Ag4'
_symmetry_space_group_name_H-M 'I 4/m c m'
_symmetry_Int_Tables_number 140
_symmetry_space_group_name_Hall '-I 4 2c'
_cell_length_a 7.403
_cell_length_b 7.403
_cell_length_c 14.359
_cell_angle_alpha 90.00
_cell_angle_beta 90.00
_cell_angle_gamma 90.00
loop_
_atom_site_label
_atom_site_fract_x
_atom_site_fract_y
_atom_site_fract_z
_atom_site_occupancy
Y1 0.000 0.000 0.000 1
Y2 0.173 0.327 0.138 1
Fe1 0.107 0.393 0.500 1
Ag1 0.000 0.000 0.250 1
```